i) A relaxed structure of K2ScMo, computed with GGA-PBE.

Symmetry = R3m (160)

```
K2ScMo
1.0
1.7034 0.9835 12.5559
-1.7034 0.9835 12.5559
0.0000 -1.9669 12.5559
K Sc Mo
2 1 1
Cartesian
0.0000 0.0000 0.0000
0.0000 0.0000 8.4124
0.0000 0.0000 17.3702
0.0000 0.0000 28.0068
```

---

ii) A relaxed structure of K2ScMo, computed with GGA-PBE.

Symmetry = Cmmm (65)

```
K2ScMo
1.0
1.6693 -2.4997 0.0000
1.6693 2.4997 0.0000
0.0000 0.0000 13.0055
K Sc Mo
2 1 1
Cartesian
0.0000 0.0000 3.0092
0.0000 0.0000 9.9964
1.6693 0.0000 6.5028
1.6693 0.0000 0.0000
```

---

Which structure is the most stable? The one labeled i).

---

i) A relaxed structure of K2ScMo, computed with GGA-PBE.

Symmetry = Cmmm (65)

```
K2ScMo
1.0
2.9009 -6.5169 0.0000
2.9009 6.5169 0.0000
0.0000 0.0000 3.0018
K Sc Mo
2 1 1
Cartesian
1.4504 3.2584 0.0000
1.4504 -3.2584 0.0000
0.0000 0.0000 1.5009
2.9009 0.0000 1.5009
```

---

ii) A relaxed structure of K2ScMo, computed with GGA-PBE.

Symmetry = Imm2 (44)

```
K2ScMo
1.0
-1.4935 3.4237 6.5969
1.4935 -3.4237 6.5969
1.4935 3.4237 -6.5969
K Sc Mo
2 1 1
Cartesian
0.0000 0.0000 0.0000
0.0000 3.4237 2.7435
0.0000 0.0000 5.3395
1.4935 0.0000 3.2355
```

---

Which structure is the most stable? The one labeled ii).

---

i) A relaxed structure of K2ScMo, computed with GGA-PBE.

Symmetry = Fm-3m (225)

```
K2ScMo
1.0
0.0000 4.1194 4.1194
4.1194 0.0000 4.1194
4.1194 4.1194 0.0000
K Sc Mo
2 1 1
Cartesian
2.0597 2.0597 2.0597
6.1792 6.1792 6.1792
0.0000 0.0000 0.0000
4.1194 4.1194 4.1194
```

---

ii) A relaxed structure of K2ScMo, computed with GGA-PBE.

Symmetry = P4/mmm (123)

```
K2ScMo
1.0
4.3250 0.0000 0.0000
0.0000 4.3250 0.0000
0.0000 0.0000 6.3793
K Sc Mo
2 1 1
Cartesian
0.0000 2.1625 0.0000
2.1625 0.0000 0.0000
0.0000 0.0000 3.1896
2.1625 2.1625 3.1896
```

---

Which structure is the most stable? The one labeled ii).

---

i) A relaxed structure of K2ScMo, computed with GGA-PBE.

Symmetry = C2/m (12)

```
K2ScMo
1.0
10.8364 -1.6372 0.0000
10.8364 1.6372 0.0000
-0.8518 0.0000 4.2367
K Sc Mo
2 1 1
Cartesian
3.1735 0.0000 0.6407
17.6475 0.0000 3.5961
-0.4259 0.0000 2.1184
10.8364 0.0000 0.0000
```

---

ii) A relaxed structure of K2ScMo, computed with GGA-PBE.

Symmetry = F-43m (216)

```
K2ScMo
1.0
0.0000 3.9688 3.9688
3.9688 0.0000 3.9688
3.9688 3.9688 0.0000
K Sc Mo
2 1 1
Cartesian
0.0000 0.0000 0.0000
1.9844 1.9844 1.9844
3.9688 3.9688 3.9688
5.9532 5.9532 5.9532
```

---

Which structure is the most stable? The one labeled i).

---

i) A relaxed structure of K2ScMo, computed with GGA-PBE.

Symmetry = Pm (6)

```
K2ScMo
1.0
3.4078 0.0000 0.0000
0.0000 3.4096 0.0000
-0.0196 0.0000 11.7339
K Sc Mo
2 1 1
Cartesian
0.0000 0.0000 0.0000
1.6812 1.7048 4.2223
1.6807 1.7048 8.3997
3.3847 0.0000 6.8976
```

---

ii) A relaxed structure of K2ScMo, computed with GGA-PBE.

Symmetry = I4/mmm (139)

```
K2ScMo
1.0
-2.1426 2.1426 6.4298
2.1426 -2.1426 6.4298
2.1426 2.1426 -6.4298
K Sc Mo
2 1 1
Cartesian
2.1426 0.0000 3.2149
0.0000 2.1426 3.2149
0.0000 0.0000 0.0000
0.0000 0.0000 6.4298
```

---

iii) A relaxed structure of K2ScMo, computed with GGA-PBE.

Symmetry = Pmmm (47)

```
K2ScMo
1.0
3.0107 0.0000 0.0000
0.0000 5.8380 0.0000
0.0000 0.0000 6.4776
K Sc Mo
2 1 1
Cartesian
0.0000 1.4254 0.0000
0.0000 4.4126 0.0000
1.5054 2.9190 3.2388
1.5054 0.0000 3.2388
```

---

Which structure is the most stable? The one labeled i).

---

i) A relaxed structure of K2ScMo, computed with GGA-PBE.

Symmetry = C2/m (12)

```
K2ScMo
1.0
3.0634 -6.6024 0.0000
3.0634 6.6024 0.0000
-1.4487 0.0000 2.6707
K Sc Mo
2 1 1
Cartesian
1.5317 3.3012 0.0000
1.5317 -3.3012 0.0000
-0.7243 0.0000 1.3354
2.3390 0.0000 1.3354
```

---

ii) A relaxed structure of K2ScMo, computed with GGA-PBE.

Symmetry = Cm (8)

```
K2ScMo
1.0
4.7362 -1.5238 0.0000
4.7362 1.5238 0.0000
-0.4053 0.0000 10.2722
K Sc Mo
2 1 1
Cartesian
0.0000 0.0000 0.0000
1.9886 0.0000 6.2066
7.0936 0.0000 2.8832
4.5538 0.0000 3.3403
```

---

Which structure is the most stable? The one labeled ii).

---

i) A relaxed structure of KSc3Mo, computed with GGA-PBE.

Symmetry = Pm-3m (221)

```
KSc3Mo
1.0
4.7495 0.0000 0.0000
0.0000 4.7495 0.0000
0.0000 0.0000 4.7495
K Sc Mo
1 3 1
Cartesian
0.0000 0.0000 0.0000
0.0000 0.0000 2.3748
0.0000 2.3748 0.0000
2.3748 0.0000 0.0000
2.3748 2.3748 2.3748
```

---

ii) A relaxed structure of KSc3Mo, computed with GGA-PBE.

Symmetry = Pm-3m (221)

```
KSc3Mo
1.0
5.2579 0.0000 0.0000
0.0000 5.2579 0.0000
0.0000 0.0000 5.2579
K Sc Mo
1 3 1
Cartesian
0.0000 0.0000 0.0000
0.0000 2.6290 2.6290
2.6290 0.0000 2.6290
2.6290 2.6290 0.0000
2.6290 2.6290 2.6290
```

---

Which structure is the most stable? The one labeled ii).

---

i) A relaxed structure of KMo2Se, computed with GGA-PBE.

Symmetry = Cm (8)

```
KMo2Se
1.0
4.2184 -1.6130 0.0000
4.2184 1.6130 0.0000
-1.0061 0.0000 7.1448
K Mo Se
1 2 1
Cartesian
0.0000 0.0000 0.0000
1.2231 0.0000 4.4026
3.6522 0.0000 3.5648
6.0668 0.0000 2.3634
```

---

ii) A relaxed structure of KMo2Se, computed with GGA-PBE.

Symmetry = P4/mmm (123)

```
KMo2Se
1.0
3.2392 0.0000 0.0000
0.0000 3.2392 0.0000
0.0000 0.0000 8.6909
K Mo Se
1 2 1
Cartesian
0.0000 0.0000 0.0000
1.6196 1.6196 3.0641
1.6196 1.6196 5.6269
0.0000 0.0000 4.3455
```

---

iii) A relaxed structure of KMo2Se, computed with GGA-PBE.

Symmetry = I4/mmm (139)

```
KMo2Se
1.0
-1.9657 1.9657 5.1810
1.9657 -1.9657 5.1810
1.9657 1.9657 -5.1810
K Mo Se
1 2 1
Cartesian
0.0000 0.0000 0.0000
1.9657 0.0000 2.5905
0.0000 1.9657 2.5905
0.0000 0.0000 5.1810
```

---

Which structure is the most stable? The one labeled i).

---

i) A relaxed structure of KMo2Se, computed with GGA-PBE.

Symmetry = R3m (160)

```
KMo2Se
1.0
1.6575 0.9570 9.3408
-1.6575 0.9570 9.3408
0.0000 -1.9139 9.3408
K Mo Se
1 2 1
Cartesian
0.0000 0.0000 0.0000
0.0000 0.0000 6.1964
0.0000 0.0000 13.8709
0.0000 0.0000 21.3262
```

---

ii) A relaxed structure of KMo2Se, computed with GGA-PBE.

Symmetry = P4mm (99)

```
KMo2Se
1.0
3.3340 0.0000 0.0000
0.0000 3.3340 0.0000
0.0000 0.0000 8.0084
K Mo Se
1 2 1
Cartesian
0.0000 0.0000 0.0000
0.0000 0.0000 4.0576
1.6670 1.6670 2.8653
1.6670 1.6670 5.5620
```

---

iii) A relaxed structure of KMo2Se, computed with GGA-PBE.

Symmetry = Imm2 (44)

```
KMo2Se
1.0
-1.5552 3.1210 5.2298
1.5552 -3.1210 5.2298
1.5552 3.1210 -5.2298
K Mo Se
1 2 1
Cartesian
0.0000 0.0000 0.0000
1.5552 0.0000 3.4751
0.0000 0.0000 5.2613
0.0000 3.1210 2.2290
```

---

Which structure is the most stable? The one labeled ii).

---

i) A relaxed structure of KMo2Se, computed with GGA-PBE.

Symmetry = Cmm2 (35)

```
KMo2Se
1.0
1.7139 -2.5402 0.0000
1.7139 2.5402 0.0000
0.0000 0.0000 9.6608
K Mo Se
1 2 1
Cartesian
0.0000 0.0000 0.0000
0.0000 0.0000 4.9319
1.7139 0.0000 3.1122
1.7139 0.0000 7.0163
```

---

ii) A relaxed structure of KMo2Se, computed with GGA-PBE.

Symmetry = R-3m (166)

```
KMo2Se
1.0
1.5115 0.8727 10.0595
-1.5115 0.8727 10.0595
0.0000 -1.7454 10.0595
K Mo Se
1 2 1
Cartesian
0.0000 0.0000 0.0000
0.0000 0.0000 6.9721
0.0000 0.0000 23.2064
0.0000 0.0000 15.0892
```

---

iii) A relaxed structure of KMo2Se, computed with GGA-PBE.

Symmetry = C2/m (12)

```
KMo2Se
1.0
2.8795 -5.8861 0.0000
2.8795 5.8861 0.0000
-1.0819 0.0000 2.4018
K Mo Se
1 2 1
Cartesian
0.0000 0.0000 0.0000
1.4398 2.9430 0.0000
1.4398 -2.9430 0.0000
2.8795 0.0000 0.0000
```

---

iv) A relaxed structure of KMo2Se, computed with GGA-PBE.

Symmetry = Cmmm (65)

```
KMo2Se
1.0
2.7569 -5.6485 0.0000
2.7569 5.6485 0.0000
0.0000 0.0000 2.6758
K Mo Se
1 2 1
Cartesian
0.0000 0.0000 0.0000
1.3784 2.8243 1.3379
1.3784 -2.8243 1.3379
2.7569 0.0000 0.0000
```

---

Which structure is the most stable? The one labeled i).

---

i) A relaxed structure of KMoSe, computed with GGA-PBE.

Symmetry = P3m1 (156)

```
KMoSe
1.0
3.3478 0.0000 0.0000
-1.6739 2.8993 0.0000
0.0000 0.0000 7.3437
K Mo Se
1 1 1
Cartesian
0.0000 0.0000 0.0000
0.0000 1.9329 3.1003
1.6739 0.9664 4.6805
```

---

ii) A relaxed structure of KMoSe, computed with GGA-PBE.

Symmetry = F-43m (216)

```
KMoSe
1.0
0.0000 3.5579 3.5579
3.5579 0.0000 3.5579
3.5579 3.5579 0.0000
K Mo Se
1 1 1
Cartesian
0.0000 0.0000 0.0000
3.5579 3.5579 3.5579
5.3369 5.3369 5.3369
```

---

iii) A relaxed structure of KMoSe, computed with GGA-PBE.

Symmetry = P3m1 (156)

```
KMoSe
1.0
4.2258 0.0000 0.0000
-2.1129 3.6597 0.0000
0.0000 0.0000 5.6289
K Mo Se
1 1 1
Cartesian
0.0000 0.0000 0.0000
2.1129 1.2199 2.8108
0.0000 2.4398 2.7910
```

---

iv) A relaxed structure of KMoSe, computed with GGA-PBE.

Symmetry = I4mm (107)

```
KMoSe
1.0
-1.6332 1.6332 6.5946
1.6332 -1.6332 6.5946
1.6332 1.6332 -6.5946
K Mo Se
1 1 1
Cartesian
0.0000 0.0000 0.0000
0.0000 0.0000 9.4736
0.0000 0.0000 4.0203
```

---

Which structure is the most stable? The one labeled iv).

---

i) A relaxed structure of KMo3Se, computed with GGA-PBE.

Symmetry = Pm-3m (221)

```
KMo3Se
1.0
4.7803 0.0000 0.0000
0.0000 4.7803 0.0000
0.0000 0.0000 4.7803
K Mo Se
1 3 1
Cartesian
0.0000 0.0000 0.0000
0.0000 2.3901 2.3901
2.3901 0.0000 2.3901
2.3901 2.3901 0.0000
2.3901 2.3901 2.3901
```

---

ii) A relaxed structure of KMo3Se, computed with GGA-PBE.

Symmetry = Pm-3m (221)

```
KMo3Se
1.0
4.5871 0.0000 0.0000
0.0000 4.5871 0.0000
0.0000 0.0000 4.5871
K Mo Se
1 3 1
Cartesian
0.0000 0.0000 0.0000
0.0000 0.0000 2.2936
0.0000 2.2936 0.0000
2.2936 0.0000 0.0000
2.2936 2.2936 2.2936
```

---

Which structure is the most stable? The one labeled i).